[1]
Computed, not measured: Gd2MgV after structural relaxation at the PBE level of DFT.

- Size of the total moment: 11.39 μB/cell
- Electronic total energy: -9.583 eV/atom
- Formation energy: 0.135 eV/atom
- Theoretical density: 6.2 g cm⁻³

Geometry as CIF:
```
data_Gd2MgV
_cell_length_a 3.596
_cell_length_b 3.596
_cell_length_c 8.012
_cell_angle_alpha 90.00
_cell_angle_beta 90.00
_cell_angle_gamma 90.00
_symmetry_space_group_name_H-M 'P 4/m m m'
_symmetry_Int_Tables_number 123
_symmetry_space_group_name_Hall '-P 4 2'
loop_
_atom_site_label
_atom_site_fract_x
_atom_site_fract_y
_atom_site_fract_z
Gd1 0.000 0.000 0.218
Mg1 0.500 0.500 0.500
V1 0.500 0.500 0.000
```

=====

[2]
Computed, not measured: GdYMg2 after structural relaxation at the PBE level of DFT.

- Size of the total moment: 8.05 μB/cell
- Electronic total energy: -6.047 eV/atom
- Formation energy: -0.114 eV/atom
- Theoretical density: 4.4 g cm⁻³

Geometry as CIF:
```
data_GdYMg2
_cell_length_a 5.392
_cell_length_b 5.392
_cell_length_c 3.809
_cell_angle_alpha 90.00
_cell_angle_beta 90.00
_cell_angle_gamma 90.00
_symmetry_space_group_name_H-M 'P 4/m m m'
_symmetry_Int_Tables_number 123
_symmetry_space_group_name_Hall '-P 4 2'
loop_
_atom_site_label
_atom_site_fract_x
_atom_site_fract_y
_atom_site_fract_z
Gd1 0.000 0.000 0.000
Y1 0.500 0.500 0.000
Mg1 0.000 0.500 0.500
```

=====

[3]
Computed, not measured: GdYMg4 after structural relaxation at the PBE level of DFT.

- Size of the total moment: 31.27 μB/cell
- Electronic total energy: -4.582 eV/atom
- Formation energy: -0.095 eV/atom
- Theoretical density: 3.6 g cm⁻³

Geometry as CIF:
```
data_GdYMg4
_cell_length_a 8.562
_cell_length_b 8.562
_cell_length_c 8.562
_cell_angle_alpha 90.00
_cell_angle_beta 90.00
_cell_angle_gamma 90.00
_symmetry_space_group_name_H-M 'F -4 3 m'
_symmetry_Int_Tables_number 216
_symmetry_space_group_name_Hall 'F -4 2 3'
loop_
_atom_site_label
_atom_site_fract_x
_atom_site_fract_y
_atom_site_fract_z
Gd1 0.000 0.000 0.000
Y1 0.250 0.250 0.250
Mg1 0.125 0.125 0.625
```

=====

theoretical density of number 3 (GdYMg4)?
3.6 g cm⁻³

=====

Among the records above, which one has the lowest size of the total moment?
GdYMg2